#P
CuSb3Cl GGA-PBE optimized geometry; SG = Pm-3m (221)
1.0
5.127 0.000 0.000
0.000 5.127 0.000
0.000 0.000 5.127
Cu Sb Cl
1 3 1
direct
0.000 0.000 0.000 Cu
0.000 0.000 0.500 Sb
0.000 0.500 0.000 Sb
0.500 0.000 0.000 Sb
0.500 0.500 0.500 Cl

#Q
CuSb3Cl GGA-PBE optimized geometry; SG = Pm-3m (221)
1.0
5.296 0.000 0.000
0.000 5.296 0.000
0.000 0.000 5.296
Cu Sb Cl
1 3 1
direct
0.000 0.000 0.000 Cu
0.000 0.500 0.500 Sb
0.500 0.000 0.500 Sb
0.500 0.500 0.000 Sb
0.500 0.500 0.500 Cl

#P wins, 698 meV per atom ahead of the next structure.

#P
CuSbCl2 GGA-PBE optimized geometry; SG = Pm (6)
1.0
5.126 0.000 0.000
0.000 3.325 0.000
-1.025 0.000 5.512
Cu Sb Cl
1 1 2
direct
0.000 0.000 0.000 Cu
0.678 0.500 0.716 Sb
0.348 0.500 0.042 Cl
0.968 0.000 0.419 Cl

#Q
CuSbCl2 GGA-PBE optimized geometry; SG = P4mm (99)
1.0
3.316 0.000 0.000
0.000 3.316 0.000
0.000 0.000 8.168
Cu Sb Cl
1 1 2
direct
0.000 0.000 0.000 Cu
0.500 0.500 0.205 Sb
0.000 0.000 0.442 Cl
0.500 0.500 0.848 Cl

#R
CuSbCl2 GGA-PBE optimized geometry; SG = P4/mmm (123)
1.0
3.181 0.000 0.000
0.000 3.181 0.000
0.000 0.000 8.089
Cu Sb Cl
1 1 2
direct
0.000 0.000 0.000 Cu
0.000 0.000 0.500 Sb
0.500 0.500 0.195 Cl
0.500 0.500 0.805 Cl

#S
CuSbCl2 GGA-PBE optimized geometry; SG = C2/m (12)
1.0
6.082 -1.675 0.000
6.082 1.675 0.000
-1.219 0.000 5.040
Cu Sb Cl
1 1 2
direct
0.000 0.000 0.000 Cu
0.500 0.500 0.500 Sb
0.355 0.355 0.816 Cl
0.645 0.645 0.184 Cl

#P wins, 123 meV per atom ahead of the next structure.

#P
CuSbCl2 GGA-PBE optimized geometry; SG = Imm2 (44)
1.0
-1.718 2.597 6.332
1.718 -2.597 6.332
1.718 2.597 -6.332
Cu Sb Cl
1 1 2
direct
0.000 0.000 0.000 Cu
0.154 0.654 0.500 Sb
0.604 0.604 0.000 Cl
0.882 0.382 0.500 Cl

#Q
CuSbCl2 GGA-PBE optimized geometry; SG = Pmmm (47)
1.0
3.203 0.000 0.000
0.000 4.544 0.000
0.000 0.000 5.833
Cu Sb Cl
1 1 2
direct
0.000 0.000 0.000 Cu
0.500 0.000 0.500 Sb
0.000 0.500 0.500 Cl
0.500 0.500 0.000 Cl

#R
CuSbCl2 GGA-PBE optimized geometry; SG = Cm (8)
1.0
4.054 -1.729 0.000
4.054 1.729 0.000
-1.140 0.000 8.050
Cu Sb Cl
1 1 2
direct
0.000 0.000 0.000 Cu
0.304 0.304 0.828 Sb
0.426 0.426 0.577 Cl
0.626 0.626 0.156 Cl

#S
CuSbCl2 GGA-PBE optimized geometry; SG = Immm (71)
1.0
-1.591 3.294 4.364
1.591 -3.294 4.364
1.591 3.294 -4.364
Cu Sb Cl
1 1 2
direct
0.000 0.000 0.000 Cu
0.500 0.500 0.000 Sb
0.202 0.702 0.500 Cl
0.798 0.298 0.500 Cl

#R wins, 17 meV per atom ahead of the next structure.

#P
CuSbCl2 GGA-PBE optimized geometry; SG = Cmmm (65)
1.0
1.670 -3.108 0.000
1.670 3.108 0.000
0.000 0.000 8.542
Cu Sb Cl
1 1 2
direct
0.000 0.000 0.000 Cu
0.000 0.000 0.500 Sb
0.500 0.500 0.193 Cl
0.500 0.500 0.807 Cl

#Q
CuSbCl2 GGA-PBE optimized geometry; SG = Cmm2 (35)
1.0
1.838 -3.086 0.000
1.838 3.086 0.000
0.000 0.000 8.698
Cu Sb Cl
1 1 2
direct
0.000 0.000 0.000 Cu
0.500 0.500 0.217 Sb
0.000 0.000 0.456 Cl
0.500 0.500 0.852 Cl

#R
CuSbCl2 GGA-PBE optimized geometry; SG = P4/mmm (123)
1.0
5.247 0.000 0.000
0.000 5.247 0.000
0.000 0.000 3.155
Cu Sb Cl
1 1 2
direct
0.000 0.000 0.000 Cu
0.500 0.500 0.000 Sb
0.000 0.500 0.500 Cl
0.500 0.000 0.500 Cl

#Q wins, 76 meV per atom ahead of the next structure.

#P
Cu2SbCl6 GGA-PBE optimized geometry; SG = C2/c (15)
1.0
6.759 -6.095 0.000
6.759 6.095 0.000
-2.000 0.000 6.448
Cu Sb Cl
4 2 12
direct
0.016 0.833 0.863 Cu
0.167 0.984 0.637 Cu
0.833 0.016 0.363 Cu
0.984 0.167 0.137 Cu
0.412 0.588 0.750 Sb
0.588 0.412 0.250 Sb
0.043 0.178 0.503 Cl
0.144 0.611 0.865 Cl
0.178 0.043 0.003 Cl
0.315 0.448 0.356 Cl
0.389 0.856 0.635 Cl
0.448 0.315 0.856 Cl
0.552 0.685 0.144 Cl
0.611 0.144 0.365 Cl
0.685 0.552 0.644 Cl
0.822 0.957 0.997 Cl
0.856 0.389 0.135 Cl
0.957 0.822 0.497 Cl

#Q
Cu2SbCl6 GGA-PBE optimized geometry; SG = C2/c (15)
1.0
7.134 -6.421 0.000
7.134 6.421 0.000
-2.857 0.000 6.536
Cu Sb Cl
4 2 12
direct
0.180 0.254 0.297 Cu
0.254 0.180 0.797 Cu
0.746 0.820 0.203 Cu
0.820 0.746 0.703 Cu
0.398 0.602 0.750 Sb
0.602 0.398 0.250 Sb
0.121 0.132 0.966 Cl
0.132 0.121 0.466 Cl
0.171 0.615 0.824 Cl
0.274 0.468 0.345 Cl
0.385 0.829 0.676 Cl
0.468 0.274 0.845 Cl
0.532 0.726 0.155 Cl
0.615 0.171 0.324 Cl
0.726 0.532 0.655 Cl
0.829 0.385 0.176 Cl
0.868 0.879 0.534 Cl
0.879 0.868 0.034 Cl

#Q wins, 16 meV per atom ahead of the next structure.

#P
ScCuCl2 GGA-PBE optimized geometry; SG = Pm (6)
1.0
3.590 0.000 0.000
0.000 3.367 0.000
-1.658 0.000 7.803
Sc Cu Cl
1 1 2
direct
0.000 0.000 0.000 Sc
0.577 0.500 0.176 Cu
0.173 0.000 0.323 Cl
0.893 0.500 0.765 Cl

#Q
ScCuCl2 GGA-PBE optimized geometry; SG = R-3m (166)
1.0
1.682 0.971 10.195
-1.682 0.971 10.195
0.000 -1.943 10.195
Sc Cu Cl
1 1 2
direct
0.000 0.000 0.000 Sc
0.500 0.500 0.500 Cu
0.280 0.280 0.280 Cl
0.720 0.720 0.720 Cl

#P wins, 172 meV per atom ahead of the next structure.